1.
Here is a relaxed MgZrPt crystal from Alexandria via LeMat-Bulk. Energies are from PBE.

As for the total energy: -6.009 eV per atom. The formation enthalpy at 0 K comes out at -615 meV/atom. As for the density: 7.91 g cm⁻³.

Lattice parameters (Å, degrees): 4.517 4.517 4.517 60.00 60.00 60.00
Site moments in Bohr magnetons follow the coordinates.
Atoms (fractional coordinates):
Pt: 0.750 0.750 0.750  0.04
Zr: 0.000 0.000 0.000  0.34
Mg: 0.500 0.500 0.500  0.01

2.
Here is a relaxed MgZrPt crystal from Alexandria via LeMat-Bulk. Energies are from PBE.

As for the total energy: -5.953 eV per atom. The formation enthalpy at 0 K comes out at -558 meV/atom. As for the density: 9.32 g cm⁻³.

Lattice parameters (Å, degrees): 4.635 4.635 2.975 90.00 90.00 120.00
Atoms (fractional coordinates):
Mg: 0.000 0.000 0.132
Pt: 0.333 0.667 0.213
Zr: 0.667 0.333 0.655

3.
Here is a relaxed MgZrPt crystal from Alexandria via LeMat-Bulk. Energies are from PBE.

As for the total energy: -5.888 eV per atom. The formation enthalpy at 0 K comes out at -493 meV/atom. As for the density: 8.47 g cm⁻³.

Lattice parameters (Å, degrees): 3.241 3.241 11.821 97.88 97.88 90.00
Site moments in Bohr magnetons follow the coordinates.
Atoms (fractional coordinates):
Pt: 0.864 0.864 0.728  0.03
Pt: 0.136 0.136 0.272  0.03
Mg: 0.295 0.295 0.590  0.00
Mg: 0.705 0.705 0.410  0.00
Zr: 0.433 0.433 0.866  0.25
Zr: 0.567 0.567 0.134  0.25

4.
Here is a relaxed MgZrPt crystal from Alexandria via LeMat-Bulk. Energies are from PBE.

As for the total energy: -6.109 eV per atom. The formation enthalpy at 0 K comes out at -715 meV/atom. As for the density: 8.80 g cm⁻³.

Lattice parameters (Å, degrees): 4.016 4.016 7.804 104.91 104.91 90.00
Atoms (fractional coordinates):
Pt: 0.139 0.139 0.278
Mg: 0.000 0.500 0.000
Pt: 0.861 0.861 0.722
Mg: 0.500 0.000 0.000
Zr: 0.322 0.322 0.643
Zr: 0.678 0.678 0.357

5.
Here is a relaxed Mg2ZrPt3 crystal from Alexandria via LeMat-Bulk. Energies are from PBE.

As for the energy above the most stable polymorph in this dataset: 0 meV/atom. As for the total energy: -5.901 eV per atom. The formation enthalpy at 0 K comes out at -924 meV/atom. As for the density: 11.68 g cm⁻³.

Lattice parameters (Å, degrees): 4.603 4.603 11.233 90.00 90.00 120.00
Atoms (fractional coordinates):
Pt: 0.000 0.000 0.247
Pt: 0.667 0.333 0.585
Pt: 0.667 0.333 0.085
Pt: 0.333 0.667 0.415
Zr: 0.333 0.667 0.670
Mg: 0.667 0.333 0.841
Mg: 0.333 0.667 0.159
Pt: 0.000 0.000 0.753
Pt: 0.333 0.667 0.915
Mg: 0.000 0.000 0.500
Mg: 0.000 0.000 0.000
Zr: 0.667 0.333 0.330

6.
Here is a relaxed MgZr2Pt crystal from Alexandria via LeMat-Bulk. Energies are from PBE.

As for the total energy: -6.619 eV per atom. The formation enthalpy at 0 K comes out at -437 meV/atom. As for the density: 8.28 g cm⁻³.

Lattice parameters (Å, degrees): 5.772 5.772 4.758 65.75 65.75 34.28
Atoms (fractional coordinates):
Zr: 0.024 0.024 0.977
Mg: 0.469 0.469 0.531
Pt: 0.752 0.752 0.747
Zr: 0.255 0.255 0.244

7.
Here is a relaxed MgZrPt crystal from Alexandria via LeMat-Bulk. Energies are from PBE.

As for the total energy: -5.984 eV per atom. The formation enthalpy at 0 K comes out at -589 meV/atom. As for the density: 8.93 g cm⁻³.

Lattice parameters (Å, degrees): 5.737 5.737 5.737 146.35 146.31 48.35
Site moments in Bohr magnetons follow the coordinates.
Atoms (fractional coordinates):
Mg: 0.982 0.982 0.000  0.01
Pt: 0.335 0.335 0.000  0.02
Zr: 0.684 0.684 0.000  0.29

8.
Here is a relaxed MgZr3Pt4 crystal from Alexandria via LeMat-Bulk. Energies are from PBE.

As for the total energy: -7.360 eV per atom. The formation enthalpy at 0 K comes out at -935 meV/atom. As for the density: 12.20 g cm⁻³.

Lattice parameters (Å, degrees): 4.634 4.635 7.580 107.84 107.80 90.00
Atoms (fractional coordinates):
Zr: 0.742 0.242 0.484
Mg: 0.500 0.000 0.000
Pt: 0.122 0.122 0.243
Pt: 0.378 0.378 0.757
Pt: 0.878 0.878 0.757
Pt: 0.622 0.622 0.243
Zr: 0.258 0.758 0.516
Zr: 0.000 0.500 0.000

9.
Here is a relaxed MgZr2Pt crystal from Alexandria via LeMat-Bulk. Energies are from PBE.

As for the total energy: -6.568 eV per atom. The formation enthalpy at 0 K comes out at -385 meV/atom. As for the density: 8.50 g cm⁻³.

Lattice parameters (Å, degrees): 5.469 5.469 5.469 135.76 135.76 64.36
Atoms (fractional coordinates):
Zr: 0.000 0.000 0.000
Mg: 0.500 0.500 0.000
Pt: 0.750 0.250 0.500
Zr: 0.250 0.750 0.500

10.
Here is a relaxed MgZrPt4 crystal from Alexandria via LeMat-Bulk. Energies are from PBE.

As for the total energy: -6.489 eV per atom. The formation enthalpy at 0 K comes out at -771 meV/atom. As for the density: 14.83 g cm⁻³.

Lattice parameters (Å, degrees): 3.853 5.088 6.489 106.64 72.73 67.75
Atoms (fractional coordinates):
Pt: 0.177 0.483 0.164
Pt: 0.334 0.001 0.331
Pt: 0.823 0.517 0.836
Pt: 0.666 0.999 0.669
Mg: 0.000 0.000 0.000
Zr: 0.500 0.500 0.500

11.
Here is a relaxed MgZr2Pt crystal from Alexandria via LeMat-Bulk. Energies are from PBE.

As for the total energy: -6.600 eV per atom. The formation enthalpy at 0 K comes out at -417 meV/atom. As for the density: 8.53 g cm⁻³.

Lattice parameters (Å, degrees): 5.339 5.339 5.339 133.68 133.68 67.58
Atoms (fractional coordinates):
Pt: 0.750 0.250 0.500
Zr: 0.500 0.500 0.000
Zr: 0.000 0.000 0.000
Mg: 0.250 0.750 0.500

12.
Here is a relaxed Mg2Zr2Pt crystal from Alexandria via LeMat-Bulk. Energies are from PBE.

As for the total energy: -5.397 eV per atom. The formation enthalpy at 0 K comes out at -132 meV/atom. As for the density: 6.93 g cm⁻³.

Lattice parameters (Å, degrees): 6.557 6.557 4.753 90.00 90.00 90.00
Atoms (fractional coordinates):
Mg: 0.858 0.642 0.000
Mg: 0.642 0.142 0.000
Mg: 0.358 0.858 0.000
Zr: 0.829 0.329 0.500
Mg: 0.142 0.358 0.000
Pt: 0.000 0.000 0.000
Pt: 0.500 0.500 0.000
Zr: 0.171 0.671 0.500
Zr: 0.671 0.829 0.500
Zr: 0.329 0.171 0.500